A relaxed structure of Ac2NdSn3Pt4, computed with PBE-GGA.

```
data_Ac2NdSn3Pt4
_cell_length_a 4.7321
_cell_length_b 4.7321
_cell_length_c 11.2360
_cell_angle_alpha 90.00
_cell_angle_beta 90.00
_cell_angle_gamma 90.00
_space_group_name_H-M_alt 'P 1'
_space_group_IT_number 1
loop_
_space_group_symop_operation_xyz
'x,y,z'
loop_
_atom_site_label
_atom_site_type_symbol
_atom_site_fract_x
_atom_site_fract_y
_atom_site_fract_z
Ac1 Ac 0.0000 0.5000 0.2241
Ac2 Ac 0.5000 0.0000 0.7759
Nd1 Nd 0.0000 0.0000 0.5000
Sn1 Sn 0.0000 0.5000 0.8816
Sn2 Sn 0.5000 0.0000 0.1184
Sn3 Sn 0.5000 0.5000 0.5000
Pt1 Pt 0.0000 0.0000 0.0000
Pt2 Pt 0.0000 0.5000 0.6471
Pt3 Pt 0.5000 0.0000 0.3529
Pt4 Pt 0.5000 0.5000 0.0000
```

The calculation puts the total magnetization at 0.00 Bohr magnetons per cell. The value obtained for the electronic total energy is -5.85 eV/atom. The calculation puts the energy relative to the elements at -0.932 eV per atom. Its calculated volume is 25.16 Å³ per atom. The calculation puts the density at 11.4 g/cm³. As for the density of states at the Fermi level: 6.458 states/eV/cell.